The following is a DFT calculation (SCAN) of Tc2NiMo at its PBEsol-relaxed geometry.

energy = -120.55 eV per formula unit
V = 13.53 A^3/atom
E_form = 157 meV/atom

Cell lengths 4.246, 4.246, 4.246 Å; angles 60.00, 60.00, 60.00 degrees
Atoms (fractional coordinates):
Tc (0.250, 0.250, 0.250)
Tc (0.750, 0.750, 0.750)
Ni (0.500, 0.500, 0.500)
Mo (0.000, 0.000, 0.000)


The following is a DFT calculation (SCAN) of TcNiMo2 at its PBEsol-relaxed geometry.

energy = -120.79 eV per formula unit
V = 13.71 A^3/atom
E_form = 52 meV/atom

Cell lengths 3.843, 3.843, 4.601 Å; angles 114.68, 114.68, 90.00 degrees
Atoms (fractional coordinates):
Mo (0.250, 0.750, 0.500)
Ni (0.500, 0.500, 0.000)
Mo (0.750, 0.250, 0.500)
Tc (0.000, 0.000, 0.000)


The following is a DFT calculation (SCAN) of NiTe2Mo at its PBEsol-relaxed geometry.

energy = -123.77 eV per formula unit
V = 17.61 A^3/atom
formation energy without anion corrections = 0.45 eV per atom

Cell lengths 3.331, 4.600, 4.598 Å; angles 90.00, 90.00, 90.00 degrees
Atoms (fractional coordinates):
Ni (0.500, 0.000, 0.500)
Mo (0.500, 0.500, 0.000)
Te (0.000, 0.000, 0.000)
Te (0.000, 0.500, 0.500)


The following is a DFT calculation (SCAN) of NiTe2Mo at its PBEsol-relaxed geometry.

energy = -122.91 eV per formula unit
V = 20.42 A^3/atom
formation energy without anion corrections = 0.66 eV per atom

Cell lengths 3.344, 3.344, 8.650 Å; angles 78.85, 78.85, 60.00 degrees
Atoms (fractional coordinates):
Mo (0.000, 0.000, 0.000)
Te (0.898, 0.898, 0.306)
Ni (0.500, 0.500, 0.500)
Te (0.102, 0.102, 0.694)


The following is a DFT calculation (SCAN) of NiTe2Mo at its PBEsol-relaxed geometry.

energy = -123.80 eV per formula unit
V = 18.04 A^3/atom
formation energy without anion corrections = 0.44 eV per atom

Cell lengths 3.852, 4.833, 4.958 Å; angles 119.17, 112.86, 90.00 degrees
Atoms (fractional coordinates):
Te (0.789, 0.789, 0.579)
Te (0.211, 0.211, 0.421)
Mo (0.000, 0.500, 0.000)
Ni (0.500, 0.000, 0.000)


The following is a DFT calculation (SCAN) of TlNiMo2 at its PBEsol-relaxed geometry.

energy = -155.11 eV per formula unit
V = 15.58 A^3/atom
E_form = 798 meV/atom

Cell lengths 4.450, 4.450, 4.450 Å; angles 60.00, 60.00, 60.00 degrees
Atoms (fractional coordinates):
Tl (0.500, 0.500, 0.500)
Ni (0.000, 0.000, 0.000)
Mo (0.750, 0.750, 0.750)
Mo (0.250, 0.250, 0.250)


The following is a DFT calculation (SCAN) of TlNi2Mo at its PBEsol-relaxed geometry.

energy = -138.22 eV per formula unit
V = 14.33 A^3/atom
E_form = 343 meV/atom

Cell lengths 2.803, 2.803, 7.297 Å; angles 90.00, 90.00, 90.00 degrees
Atoms (fractional coordinates):
Tl (0.500, 0.500, 0.000)
Ni (0.000, 0.000, 0.729)
Ni (0.000, 0.000, 0.271)
Mo (0.500, 0.500, 0.500)


The following is a DFT calculation (SCAN) of TlNiMo2 at its PBEsol-relaxed geometry.

energy = -156.10 eV per formula unit
V = 15.79 A^3/atom
E_form = 552 meV/atom

Cell lengths 2.730, 3.970, 5.828 Å; angles 90.00, 90.00, 90.00 degrees
Atoms (fractional coordinates):
Tl (0.500, 0.500, 0.738)
Mo (0.000, 0.000, 0.028)
Ni (0.000, 0.000, 0.477)
Mo (0.500, 0.500, 0.258)


The following is a DFT calculation (SCAN) of TlNiMo2 at its PBEsol-relaxed geometry.

energy = -156.66 eV per formula unit
V = 15.33 A^3/atom
E_form = 411 meV/atom

Cell lengths 3.747, 3.747, 5.107 Å; angles 111.52, 111.52, 90.00 degrees
Atoms (fractional coordinates):
Mo (0.250, 0.750, 0.500)
Tl (0.000, 0.000, 0.000)
Mo (0.750, 0.250, 0.500)
Ni (0.500, 0.500, 0.000)


The following is a DFT calculation (SCAN) of ZnNi2Mo at its PBEsol-relaxed geometry.

energy = -80.44 eV per formula unit
V = 12.34 A^3/atom
E_form = 78 meV/atom

Cell lengths 2.562, 4.361, 4.669 Å; angles 97.78, 90.00, 107.08 degrees
Atoms (fractional coordinates):
Ni (0.253, 0.505, 0.242)
Mo (0.500, 0.000, 0.000)
Ni (0.747, 0.495, 0.758)
Zn (0.000, 0.000, 0.500)


The following is a DFT calculation (SCAN) of ZnNiMo2 at its PBEsol-relaxed geometry.

energy = -98.54 eV per formula unit
V = 13.82 A^3/atom
E_form = 229 meV/atom

Cell lengths 2.686, 2.686, 8.984 Å; angles 81.40, 81.40, 60.00 degrees
Atoms (fractional coordinates):
Mo (0.998, 0.998, 0.005)
Mo (0.757, 0.757, 0.729)
Ni (0.501, 0.501, 0.496)
Zn (0.243, 0.243, 0.270)


The following is a DFT calculation (SCAN) of ZnNiMo2 at its PBEsol-relaxed geometry.

energy = -98.67 eV per formula unit
V = 13.69 A^3/atom
E_form = 197 meV/atom

Cell lengths 3.235, 3.235, 5.233 Å; angles 90.00, 90.00, 90.00 degrees
Atoms (fractional coordinates):
Zn (0.500, 0.500, 0.500)
Mo (0.000, 0.000, 0.225)
Ni (0.500, 0.500, 0.000)
Mo (0.000, 0.000, 0.775)


The following is a DFT calculation (SCAN) of ZnNi2Mo at its PBEsol-relaxed geometry.

energy = -80.54 eV per formula unit
V = 12.31 A^3/atom
E_form = 51 meV/atom

Cell lengths 2.583, 4.402, 4.402 Å; angles 100.29, 89.98, 89.98 degrees
Atoms (fractional coordinates):
Ni (0.000, 0.500, 0.000)
Mo (0.500, 0.000, 0.000)
Zn (0.500, 0.500, 0.500)
Ni (0.000, 0.000, 0.500)


The following is a DFT calculation (SCAN) of ZnNiMo2 at its PBEsol-relaxed geometry.

energy = -98.89 eV per formula unit
V = 13.58 A^3/atom
E_form = 143 meV/atom

Cell lengths 3.732, 3.732, 4.709 Å; angles 113.34, 113.34, 90.00 degrees
Atoms (fractional coordinates):
Mo (0.000, 0.000, 0.000)
Ni (0.500, 0.500, 0.000)
Zn (0.250, 0.750, 0.500)
Mo (0.750, 0.250, 0.500)


The following is a DFT calculation (SCAN) of ZnNi2Mo at its PBEsol-relaxed geometry.

energy = -81.19 eV per formula unit
V = 12.07 A^3/atom
E_form = -111 meV/atom

Cell lengths 2.620, 2.620, 7.033 Å; angles 90.00, 90.00, 90.00 degrees
Atoms (fractional coordinates):
Ni (0.000, 0.000, 0.761)
Mo (0.500, 0.500, 0.500)
Ni (0.000, 0.000, 0.239)
Zn (0.500, 0.500, 0.000)


The following is a DFT calculation (SCAN) of ZnNiMo at its PBEsol-relaxed geometry.

energy = -64.13 eV per formula unit
V = 13.16 A^3/atom
E_form = 147 meV/atom

Cell lengths 2.656, 2.656, 6.463 Å; angles 90.00, 90.00, 120.00 degrees
Atoms (fractional coordinates):
Zn (0.667, 0.333, 0.351)
Ni (0.333, 0.667, 0.664)
Mo (0.000, 0.000, 0.984)


The following is a DFT calculation (SCAN) of ZnNiMo2 at its PBEsol-relaxed geometry.

energy = -98.45 eV per formula unit
V = 13.77 A^3/atom
E_form = 253 meV/atom

Cell lengths 2.669, 2.669, 9.065 Å; angles 81.54, 81.54, 60.00 degrees
Atoms (fractional coordinates):
Ni (0.500, 0.500, 0.500)
Mo (0.754, 0.754, 0.738)
Zn (0.000, 0.000, 0.000)
Mo (0.246, 0.246, 0.262)


The following is a DFT calculation (SCAN) of ZnNi2Mo at its PBEsol-relaxed geometry.

energy = -80.73 eV per formula unit
V = 12.23 A^3/atom
E_form = 3 meV/atom

Cell lengths 2.554, 4.053, 4.911 Å; angles 90.00, 105.74, 90.00 degrees
Atoms (fractional coordinates):
Mo (0.202, 0.500, 0.790)
Zn (0.541, 0.000, 0.453)
Ni (0.956, 0.500, 0.275)
Ni (0.801, 0.000, 0.982)


The following is a DFT calculation (SCAN) of ZrNiMo2 at its PBEsol-relaxed geometry.

energy = -115.52 eV per formula unit
V = 15.63 A^3/atom
E_form = 281 meV/atom

Cell lengths 2.715, 3.566, 6.459 Å; angles 90.00, 90.00, 90.00 degrees
Atoms (fractional coordinates):
Mo (0.000, 0.000, 0.201)
Ni (0.500, 0.500, 0.000)
Mo (0.000, 0.000, 0.799)
Zr (0.500, 0.500, 0.500)


The following is a DFT calculation (SCAN) of Zr9NiMo4 at its PBEsol-relaxed geometry.

energy = -434.09 eV per formula unit
V = 19.54 A^3/atom
E_form = -149 meV/atom

Cell lengths 8.352, 8.697, 8.697 Å; angles 120.00, 90.00, 90.00 degrees
Atoms (fractional coordinates):
Mo (0.500, 0.000, 0.000)
Mo (0.250, 0.890, 0.780)
Zr (0.750, 0.457, 0.915)
Ni (0.250, 0.333, 0.667)
Zr (0.556, 0.399, 0.199)
Zr (0.056, 0.601, 0.801)
Ni (0.750, 0.667, 0.333)
Zr (0.056, 0.199, 0.801)
Zr (0.944, 0.801, 0.199)
Mo (0.750, 0.780, 0.890)
Zr (0.444, 0.199, 0.399)
Zr (0.944, 0.399, 0.199)
Zr (0.250, 0.915, 0.457)
Mo (0.750, 0.110, 0.220)
Zr (0.250, 0.543, 0.457)
Zr (0.444, 0.199, 0.801)
Mo (0.000, 0.000, 0.000)
Zr (0.750, 0.457, 0.543)
Mo (0.750, 0.110, 0.890)
Zr (0.556, 0.801, 0.199)
Zr (0.056, 0.199, 0.399)
Zr (0.444, 0.601, 0.801)
Zr (0.750, 0.085, 0.543)
Mo (0.250, 0.890, 0.110)
Zr (0.944, 0.801, 0.601)
Zr (0.556, 0.801, 0.601)
Mo (0.250, 0.220, 0.110)
Zr (0.250, 0.543, 0.085)


The following is a DFT calculation (SCAN) of ZrNiMo2 at its PBEsol-relaxed geometry.

energy = -114.98 eV per formula unit
V = 15.52 A^3/atom
E_form = 416 meV/atom

Cell lengths 2.741, 2.741, 9.670 Å; angles 81.85, 81.85, 60.00 degrees
Atoms (fractional coordinates):
Ni (0.500, 0.500, 0.500)
Zr (0.000, 0.000, 0.000)
Mo (0.760, 0.760, 0.719)
Mo (0.240, 0.240, 0.281)


The following is a DFT calculation (SCAN) of ZrNiMo2 at its PBEsol-relaxed geometry.

energy = -115.99 eV per formula unit
V = 15.29 A^3/atom
E_form = 164 meV/atom

Cell lengths 2.680, 2.680, 8.627 Å; angles 90.00, 90.00, 99.33 degrees
Atoms (fractional coordinates):
Ni (0.500, 0.500, 0.500)
Mo (0.000, 0.000, 0.716)
Mo (0.000, 0.000, 0.284)
Zr (0.500, 0.500, 0.000)


The following is a DFT calculation (SCAN) of ZrNi2Mo at its PBEsol-relaxed geometry.

energy = -97.94 eV per formula unit
V = 14.29 A^3/atom
E_form = -2 meV/atom

Cell lengths 3.227, 3.227, 5.489 Å; angles 90.00, 90.00, 90.00 degrees
Last column: magnetic moment on the atom in μB.
Atoms (fractional coordinates):
Mo (0.500, 0.500, 0.500)  -0.55
Ni (0.000, 0.000, 0.274)  -0.30
Ni (0.000, 0.000, 0.726)  -0.30
Zr (0.500, 0.500, 0.000)  0.03


The following is a DFT calculation (SCAN) of Zr4NiMo at its PBEsol-relaxed geometry.

energy = -175.20 eV per formula unit
V = 19.23 A^3/atom
E_form = -225 meV/atom

Cell lengths 8.674, 8.674, 8.674 Å; angles 60.00, 60.00, 60.00 degrees
Atoms (fractional coordinates):
Zr (0.952, 0.548, 0.952)
Zr (0.398, 0.398, 0.398)
Zr (0.548, 0.548, 0.952)
Mo (0.167, 0.498, 0.167)
Zr (0.185, 0.815, 0.185)
Zr (0.548, 0.952, 0.952)
Zr (0.185, 0.185, 0.815)
Ni (0.609, 0.609, 0.609)
Mo (0.167, 0.167, 0.167)
Zr (0.952, 0.952, 0.548)
Zr (0.398, 0.398, 0.805)
Zr (0.398, 0.805, 0.398)
Zr (0.805, 0.398, 0.398)
Mo (0.167, 0.167, 0.498)
Ni (0.609, 0.173, 0.609)
Zr (0.815, 0.185, 0.815)
Zr (0.185, 0.815, 0.815)
Ni (0.173, 0.609, 0.609)
Zr (0.548, 0.952, 0.548)
Mo (0.498, 0.167, 0.167)
Ni (0.609, 0.609, 0.173)
Zr (0.815, 0.185, 0.185)
Zr (0.952, 0.548, 0.548)
Zr (0.815, 0.815, 0.185)


The following is a DFT calculation (SCAN) of ZrNiMo2 at its PBEsol-relaxed geometry.

energy = -116.18 eV per formula unit
V = 15.55 A^3/atom
E_form = 114 meV/atom

Cell lengths 3.274, 4.286, 5.189 Å; angles 114.39, 108.39, 90.00 degrees
Atoms (fractional coordinates):
Mo (0.751, 0.751, 0.503)
Zr (0.000, 0.500, 0.000)
Mo (0.249, 0.249, 0.497)
Ni (0.500, 0.000, 0.000)


The following is a DFT calculation (SCAN) of MoO3 at its PBEsol-relaxed geometry.

energy = -61.88 eV per formula unit
V = 13.56 A^3/atom
formation energy without anion corrections = -2.07 eV per atom

Cell lengths 7.264, 7.636, 7.821 Å; angles 90.00, 89.84, 90.00 degrees
Atoms (fractional coordinates):
O (0.716, 0.512, 0.996)
O (0.500, 0.973, 0.282)
O (0.278, 0.739, 0.736)
Mo (0.745, 0.035, 0.288)
O (0.780, 0.261, 0.753)
Mo (0.755, 0.535, 0.212)
O (0.720, 0.761, 0.747)
O (0.716, 0.024, 0.004)
O (0.000, 0.027, 0.218)
O (0.000, 0.973, 0.782)
Mo (0.745, 0.537, 0.713)
O (0.222, 0.239, 0.764)
Mo (0.255, 0.965, 0.712)
O (0.000, 0.527, 0.782)
O (0.500, 0.473, 0.718)
Mo (0.245, 0.465, 0.788)
Mo (0.755, 0.037, 0.787)
O (0.284, 0.488, 0.004)
O (0.216, 0.988, 0.496)
Mo (0.245, 0.963, 0.213)
O (0.778, 0.761, 0.236)
O (0.784, 0.012, 0.504)
O (0.220, 0.739, 0.247)
Mo (0.255, 0.463, 0.287)
O (0.722, 0.261, 0.264)
O (0.284, 0.976, 0.996)
O (0.280, 0.239, 0.253)
O (0.500, 0.027, 0.718)
O (0.216, 0.476, 0.504)
O (0.784, 0.524, 0.496)
O (0.500, 0.527, 0.282)
O (0.000, 0.473, 0.218)